Entry 1:
## KHo2HgTe4 (GGA-PBE)

Data for crystalline KHo2HgTe4 at its relaxed geometry.

Output
E_form (uncorrected)   -0.974 eV per atom
Space-group type   Cmcm (63)
Uncorrected energy   -61.8 eV for the cell shown

Cell and atoms, written as POSCAR:
```
KHo2HgTe4
1.0
2.210 -7.533 0.000
2.210 7.533 0.000
0.000 0.000 16.463
K Ho Hg Te
2 4 2 8
Direct
0.140 0.860 0.750
0.860 0.140 0.250
0.377 0.623 0.573
0.377 0.623 0.927
0.623 0.377 0.073
0.623 0.377 0.427
0.171 0.829 0.250
0.829 0.171 0.750
0.000 0.000 0.000
0.000 0.000 0.500
0.264 0.736 0.092
0.264 0.736 0.408
0.462 0.538 0.750
0.538 0.462 0.250
0.736 0.264 0.592
0.736 0.264 0.908
```


Entry 2:
## K2HoHg2Te4 (GGA-PBE)

Data for crystalline K2HoHg2Te4 at its relaxed geometry.

Output
E_form (uncorrected)   -0.777 eV per atom
Space-group type   C2/m (12)
Uncorrected energy   -26.9 eV for the cell shown

Cell and atoms, written as POSCAR:
```
K2HoHg2Te4
1.0
8.701 -2.232 0.000
8.701 2.232 0.000
-3.635 0.000 8.016
K Ho Hg Te
2 1 2 4
Direct
0.128 0.128 0.082
0.872 0.872 0.918
0.000 0.000 0.500
0.311 0.311 0.488
0.689 0.689 0.512
0.190 0.190 0.735
0.485 0.485 0.734
0.515 0.515 0.266
0.810 0.810 0.265
```


Entry 3:
## KHoHgTe3 (GGA-PBE)

Data for crystalline KHoHgTe3 at its relaxed geometry.

Output
E_form (uncorrected)   -0.939 eV per atom
Space-group type   P2_1/m (11)
Uncorrected energy   -42.1 eV for the cell shown

Cell and atoms, written as POSCAR:
```
KHoHgTe3
1.0
9.364 0.000 0.000
0.000 4.494 0.000
-3.258 0.000 10.322
K Ho Hg Te
2 2 2 6
Direct
0.217 0.250 0.252
0.783 0.750 0.748
0.327 0.750 0.861
0.673 0.250 0.139
0.087 0.250 0.611
0.913 0.750 0.389
0.098 0.250 0.873
0.247 0.750 0.547
0.455 0.750 0.155
0.545 0.250 0.845
0.753 0.250 0.453
0.902 0.750 0.127
```


Q: The highest E_form (uncorrected) belongs to which entry?
A: K2HoHg2Te4